! SrZrSb2 | Alexandria | PBE-GGA | optimized geometry; values from VASP
&SYSTEM
  ibrav = 0, nat = 4, ntyp = 3
/
ATOMIC_SPECIES
Zr 91.22 Zr.upf
Sr 87.62 Sr.upf
Sb 121.76 Sb.upf
ATOMIC_POSITIONS crystal
Zr 0.7500 0.2500 0.5000
Sr 0.5000 0.5000 0.0000
Sb 0.0000 0.0000 0.0000
Sb 0.2500 0.7500 0.5000
CELL_PARAMETERS angstrom
-0.8917 4.5977 -4.2580
-5.2470 3.5357 0.1795
4.5162 -2.0166 3.9499
! calculated total energy	-20.07	eV for the cell shown
! space group	I-4m2 (119)
! mass density	6.42	Mg/m³
! ΔE to the lowest computed polymorph	1.64	eV/f.u.
! crystal system	tetragonal
! formation energy (no corrections)	-399	meV per atom


! SrZrSb2 | Alexandria | PBE-GGA | optimized geometry; values from VASP
&SYSTEM
  ibrav = 0, nat = 4, ntyp = 3
/
ATOMIC_SPECIES
Sr 87.62 Sr.upf
Sb 121.76 Sb.upf
Zr 91.22 Zr.upf
ATOMIC_POSITIONS crystal
Sr 0.4523 0.4523 0.0000
Sb 0.7765 0.2765 0.5000
Sb 0.0667 0.0667 0.0000
Zr 0.2044 0.7044 0.5000
CELL_PARAMETERS angstrom
-7.0668 -2.9741 3.2810
-2.6941 -5.8277 5.3225
5.0015 6.2887 -2.2331
! calculated total energy	-21.05	eV for the cell shown
! space group	Imm2 (44)
! mass density	5.69	Mg/m³
! ΔE to the lowest computed polymorph	0.66	eV/f.u.
! crystal system	orthorhombic
! formation energy (no corrections)	-643	meV per atom